# PaTlCuAg | Alexandria | PBE | relaxed
# - Space-group type: No. 216
# - DFT total energy: -4.539 eV per atom
# - Total magnetic moment: 0.0 μB/f.u.
data_PaTlCuAg
_symmetry_space_group_name_H-M 'P 1'
_symmetry_Int_Tables_number 1
_symmetry_space_group_name_Hall 'P 1'
_cell_length_a 4.908
_cell_length_b 4.908
_cell_length_c 4.908
_cell_angle_alpha 60.00
_cell_angle_beta 60.00
_cell_angle_gamma 60.00
loop_
_atom_site_label
_atom_site_type_symbol
_atom_site_fract_x
_atom_site_fract_y
_atom_site_fract_z
Pa1 Pa 0.000 0.000 0.000
Tl1 Tl 0.500 0.500 0.500
Cu1 Cu 0.250 0.250 0.250
Ag1 Ag 0.750 0.750 0.750